(1)
A plane-wave DFT calculation with PBE was carried out for a geometry-optimized Pt2C structure.

Computed properties:
For the formation energy from the elements, the calculation gives 1.03 eV/atom. As for the space-group type: P4/mmm, No. 123. The energy above the most stable polymorph in this dataset comes out at 470.9 meV/atom. The value obtained for the volume is 39.5 Å³/cell. The calculation puts the total energy at -6.074 eV/atom.

abc: 3.7984 3.7984 2.7369
angles: 90.00 90.00 90.00
Sites, in units of the cell vectors:
Pt  0.5000  0.0000  0.0000
C  0.0000  0.0000  0.5000
Pt  0.0000  0.5000  0.0000



(2)
A plane-wave DFT calculation with PBE was carried out for a geometry-optimized LaEr3Tm2 structure.

Computed properties:
For the formation energy from the elements, the calculation gives 0.02 eV/atom. As for the space-group type: C2/m, No. 12. The energy above the most stable polymorph in this dataset comes out at 0.0 meV/atom. The value obtained for the volume is 381.5 Å³/cell. The calculation puts the total energy at -4.577 eV/atom.

abc: 3.6221 11.2752 11.0431
angles: 120.49 99.44 90.00
Sites, in units of the cell vectors:
Er  0.6121  0.4878  0.2242
La  0.3898  0.0150  0.7797
Er  0.7213  0.8436  0.4426
Tm  0.0588  0.1903  0.1175
Tm  0.7238  0.3519  0.4476
La  0.6102  0.9850  0.2203
Er  0.0550  0.6752  0.1101
Er  0.3879  0.5122  0.7758
Er  0.9450  0.3248  0.8899
Tm  0.2762  0.6481  0.5524
Tm  0.9412  0.8097  0.8825
Er  0.2787  0.1564  0.5574